Record 1
VASP calculation (GGA-PBE) on Nb3Ga3Os after structural relaxation.

Values from the calculation:
**Density of states at the Fermi level**: 10.02 states/eV per cell
**ΔH_f (0 K)**: -17.76 kJ/mol of atoms

a = 3.725 Å, b = 5.201 Å, c = 12.831 Å
α = 90.00°, β = 90.00°, γ = 110.98°
Atoms (fractional coordinates):
Ga1 0.746 0.493 0.750
Ga2 0.908 0.816 0.606
Ga3 0.092 0.184 0.106
Ga4 0.254 0.507 0.250
Ga5 0.908 0.816 0.894
Ga6 0.092 0.184 0.394
Os1 0.500 0.000 0.500
Os2 0.500 0.000 0.000
Nb1 0.807 0.614 0.405
Nb2 0.807 0.614 0.095
Nb3 0.193 0.386 0.905
Nb4 0.193 0.386 0.595
Nb5 0.481 0.963 0.750
Nb6 0.519 0.037 0.250

***

Record 2
VASP calculation (GGA-PBE) on NbGaOs2 after structural relaxation.

Values from the calculation:
**Density of states at the Fermi level**: 0.18 states/eV per cell
**ΔH_f (0 K)**: -20.11 kJ/mol of atoms

a = 4.422 Å, b = 4.422 Å, c = 4.423 Å
α = 120.00°, β = 120.00°, γ = 89.99°
Atoms (fractional coordinates):
Os1 0.000 0.000 0.000
Os2 0.500 0.500 0.000
Ga1 0.750 0.250 0.500
Nb1 0.250 0.750 0.500

***

Record 3
VASP calculation (GGA-PBE) on Nb2GaOs2 after structural relaxation.

Values from the calculation:
**Energy above the lowest structure with this stoichiometry**: 0.0 meV per atom
**Density of states at the Fermi level**: 8.85 states/eV per cell
**ΔH_f (0 K)**: -1.02 kJ/mol of atoms

a = 7.499 Å, b = 7.499 Å, c = 3.063 Å
α = 90.00°, β = 90.00°, γ = 90.00°
Atoms (fractional coordinates):
Os1 0.134 0.366 0.000
Os2 0.866 0.634 0.000
Os3 0.366 0.866 0.000
Os4 0.634 0.134 0.000
Nb1 0.663 0.837 0.500
Nb2 0.337 0.163 0.500
Nb3 0.837 0.337 0.500
Nb4 0.163 0.663 0.500
Ga1 0.000 0.000 0.000
Ga2 0.500 0.500 0.000

***

Record 4
VASP calculation (GGA-PBE) on NbGaOs3 after structural relaxation.

Values from the calculation:
**Energy above the lowest structure with this stoichiometry**: 838.1 meV per atom
**Density of states at the Fermi level**: 7.57 states/eV per cell
**ΔH_f (0 K)**: 217.05 kJ/mol of atoms

a = 4.774 Å, b = 4.774 Å, c = 4.774 Å
α = 90.00°, β = 90.00°, γ = 90.00°
Site moments in Bohr magnetons follow the coordinates.
Atoms (fractional coordinates):
Os1 0.000 0.500 0.000  0.30
Os2 0.000 0.000 0.500  0.36
Os3 0.500 0.000 0.000  0.26
Nb1 0.000 0.000 0.000  -0.06
Ga1 0.500 0.500 0.500  0.02

***

Record 5
VASP calculation (GGA-PBE) on NbGaOs3 after structural relaxation.

Values from the calculation:
**Energy above the lowest structure with this stoichiometry**: 0.0 meV per atom
**Density of states at the Fermi level**: 2.25 states/eV per cell
**ΔH_f (0 K)**: 136.18 kJ/mol of atoms

a = 4.451 Å, b = 4.451 Å, c = 4.451 Å
α = 90.00°, β = 90.00°, γ = 90.00°
Atoms (fractional coordinates):
Ga1 0.000 0.000 0.000
Os1 0.000 0.500 0.000
Os2 0.500 0.000 0.000
Os3 0.000 0.000 0.500
Nb1 0.500 0.500 0.500

***

Record 6
VASP calculation (GGA-PBE) on NbGaOs2 after structural relaxation.

Values from the calculation:
**Density of states at the Fermi level**: 1.06 states/eV per cell
**ΔH_f (0 K)**: -18.77 kJ/mol of atoms

a = 3.163 Å, b = 3.163 Å, c = 6.107 Å
α = 90.00°, β = 90.00°, γ = 90.00°
Atoms (fractional coordinates):
Os1 0.000 0.000 0.757
Os2 0.000 0.000 0.243
Ga1 0.500 0.500 0.000
Nb1 0.500 0.500 0.500